The following is a GGA-PBE calculation of crystalline LiCuOs2 at its relaxed geometry, from the Alexandria database.

Summary:
Mass density = 13.55 g/cm3
Magnetization = 0.00 μB per formula unit
Density of states at the Fermi level = 4.527 states/eV/f.u.
E_tot = -0.4864 Ry/atom
Excess energy over the best structure of this formula in the dataset = 1.23 eV per formula unit
E_form = 48 kJ/mol of atoms

```
LiCuOs2
1.0
-1.161 -0.320 -2.248
-2.061 -0.912 1.194
-3.177 7.866 0.522
Os Cu Li
2 1 1
direct
0.000 0.000 0.491
0.000 0.000 0.009
0.500 0.500 0.250
0.500 0.500 0.750
```